# 1
First-principles (PBE-GGA) data for a relaxed CaSmMg crystal, as listed in Alexandria via LeMat-Bulk.

Cell: 5.5344 5.5457 7.3819 Å, 89.66 89.86 60.15°
Fractional coordinates of all 6 atoms:
Ca (0.1666, 0.1676, 0.1120)
Ca (0.8334, 0.8324, 0.8880)
Sm (0.1666, 0.1666, 0.5973)
Sm (0.8334, 0.8334, 0.4027)
Mg (0.5001, 0.5003, 0.2776)
Mg (0.4999, 0.4997, 0.7224)

Relative energy among the computed polymorphs ... 107.1 meV/atom
Volume ... 98.2 Å³/f.u.
Raw total energy ... -16.3 eV for the cell shown

# 2
First-principles (PBE-GGA) data for a relaxed PrCd6Pd12 crystal, as listed in Alexandria via LeMat-Bulk.

Cell: 7.5480 7.5480 7.5480 Å, 106.08 106.08 106.08°
Fractional coordinates of all 19 atoms:
Pr (0.0000, 0.0000, 0.0000)
Cd (0.2963, 0.7030, 0.7030)
Cd (0.2970, 0.2970, 0.7037)
Cd (0.2970, 0.7037, 0.2970)
Cd (0.7030, 0.2963, 0.7030)
Cd (0.7030, 0.7030, 0.2963)
Cd (0.7037, 0.2970, 0.2970)
Pd (0.1128, 0.5000, 0.8872)
Pd (0.1128, 0.8872, 0.5000)
Pd (0.1156, 0.3542, 0.3542)
Pd (0.3542, 0.1156, 0.3542)
Pd (0.3542, 0.3542, 0.1156)
Pd (0.5000, 0.1128, 0.8872)
Pd (0.5000, 0.8872, 0.1128)
Pd (0.6458, 0.6458, 0.8844)
Pd (0.6458, 0.8844, 0.6458)
Pd (0.8844, 0.6458, 0.6458)
Pd (0.8872, 0.1128, 0.5000)
Pd (0.8872, 0.5000, 0.1128)

Volume ... 366.7 Å³/f.u.
Raw total energy ... -76.6 eV for the cell shown

# 3
First-principles (PBE-GGA) data for a relaxed KAsRhAu crystal, as listed in Alexandria via LeMat-Bulk.

Cell: 3.9955 3.9955 12.2023 Å, 90.00 90.00 90.00°
Fractional coordinates of all 8 atoms:
K (0.2500, 0.2500, 0.2257)
K (0.7500, 0.7500, 0.7743)
As (0.2500, 0.2500, 0.6156)
As (0.7500, 0.7500, 0.3844)
Rh (0.2500, 0.7500, 0.5000)
Rh (0.7500, 0.2500, 0.5000)
Au (0.2500, 0.7500, 0.0000)
Au (0.7500, 0.2500, 0.0000)

Volume ... 97.4 Å³/f.u.
Raw total energy ... -36.5 eV for the cell shown

# 4
First-principles (PBE-GGA) data for a relaxed BaCaRe2 crystal, as listed in Alexandria via LeMat-Bulk.

Cell: 2.8634 2.8634 10.7059 Å, 90.00 90.00 90.00°
Fractional coordinates of all 4 atoms:
Ba (0.0000, 0.0000, 0.0000)
Ca (0.0000, 0.0000, 0.5000)
Re (0.5000, 0.5000, 0.2695)
Re (0.5000, 0.5000, 0.7305)

Relative energy among the computed polymorphs ... 918.7 meV/atom
Volume ... 87.8 Å³/f.u.
Raw total energy ... -23.7 eV for the cell shown

# 5
First-principles (PBE-GGA) data for a relaxed BaSrLa2 crystal, as listed in Alexandria via LeMat-Bulk.

Cell: 6.8048 6.8048 6.8048 Å, 130.13 130.13 73.20°
Fractional coordinates of all 4 atoms:
Ba (0.0000, 0.0000, 0.0000)
Sr (0.7500, 0.2500, 0.5000)
La (0.2500, 0.7500, 0.5000)
La (0.5000, 0.5000, 0.0000)

Relative energy among the computed polymorphs ... 128.6 meV/atom
Volume ... 179.9 Å³/f.u.
Raw total energy ... -12.6 eV for the cell shown

# 6
First-principles (PBE-GGA) data for a relaxed RbLiBi crystal, as listed in Alexandria via LeMat-Bulk.

Cell: 7.1187 7.1187 7.1187 Å, 146.78 146.78 47.69°
Fractional coordinates of all 3 atoms:
Rb (0.0000, 0.0000, 0.0000)
Li (0.2632, 0.2632, 0.0000)
Bi (0.7065, 0.7065, 0.0000)

Relative energy among the computed polymorphs ... 70.2 meV/atom
Volume ... 107.8 Å³/f.u.
Raw total energy ... -7.6 eV for the cell shown

Summary of M_tot in μB per cell
0.0, 0.0, 0.0, 0.0, 0.0, 0.0
(order as listed above)